Arrangement i

{
  "formula": "Y3ErRu",
  "functional": "GGA-PBE",
  "state": "relaxed",
  "cell": [[5.848, -4.292, 0.000], [5.848, 4.292, 0.000], [-5.512, 0.000, 5.848]],
  "species": ["Y", "Y", "Y", "Y", "Y", "Y", "Er", "Er", "Ru", "Ru"],
  "fractional_positions": [[0.052, 0.052, 0.346], [0.056, 0.450, 0.209], [0.450, 0.056, 0.209], [0.550, 0.944, 0.791], [0.944, 0.550, 0.791], [0.948, 0.948, 0.654], [0.447, 0.447, 0.745], [0.553, 0.553, 0.255], [0.252, 0.252, 0.873], [0.748, 0.748, 0.127]],
  "magnetic_moment_mub_per_atom": 0.08,
  "dos_ef_per_ev_cell": 11.59
}

Arrangement ii

{
  "formula": "Y3ErRu",
  "functional": "GGA-PBE",
  "state": "relaxed",
  "cell": [[5.394, 0.000, 0.000], [0.000, 5.394, 0.000], [0.000, 0.000, 5.394]],
  "species": ["Y", "Y", "Y", "Er", "Ru"],
  "fractional_positions": [[0.000, 0.000, 0.500], [0.000, 0.500, 0.000], [0.500, 0.000, 0.000], [0.500, 0.500, 0.500], [0.000, 0.000, 0.000]],
  "magnetic_moment_mub_per_atom": 0.00,
  "dos_ef_per_ev_cell": 7.25
}

Which structure is the least stable? The one labeled arrangement ii.

Arrangement i

{
  "formula": "Er4ZnRu",
  "functional": "GGA-PBE",
  "state": "relaxed",
  "cell": [[3.466, 0.000, 0.000], [0.000, 3.466, 0.000], [0.000, 0.000, 12.272]],
  "species": ["Er", "Er", "Er", "Er", "Zn", "Ru"],
  "fractional_positions": [[0.000, 0.000, 0.131], [0.000, 0.000, 0.869], [0.500, 0.500, 0.359], [0.500, 0.500, 0.641], [0.000, 0.000, 0.500], [0.500, 0.500, 0.000]],
  "magnetic_moment_mub_per_atom": 0.00,
  "dos_ef_per_ev_cell": 6.11
}

Arrangement ii

{
  "formula": "Er4ZnRu",
  "functional": "GGA-PBE",
  "state": "relaxed",
  "cell": [[3.403, -3.403, 0.000], [3.403, 3.403, 0.000], [-0.011, 0.000, 6.839]],
  "species": ["Er", "Er", "Er", "Er", "Zn", "Ru"],
  "fractional_positions": [[0.000, 0.500, 0.239], [0.000, 0.500, 0.761], [0.500, 0.000, 0.239], [0.500, 0.000, 0.761], [0.000, 0.000, 0.500], [0.500, 0.500, 0.000]],
  "magnetic_moment_mub_per_atom": 0.00,
  "dos_ef_per_ev_cell": 7.35
}

Which structure is the least stable? The one labeled arrangement ii.

Arrangement i

{
  "formula": "Er4ZnRu2",
  "functional": "GGA-PBE",
  "state": "relaxed",
  "cell": [[-4.314, 4.314, 4.259], [4.314, -4.314, 4.259], [4.314, 4.314, -4.259]],
  "species": ["Er", "Er", "Er", "Er", "Er", "Er", "Er", "Er", "Zn", "Zn", "Ru", "Ru", "Ru", "Ru"],
  "fractional_positions": [[0.002, 0.393, 0.252], [0.141, 0.750, 0.748], [0.143, 0.252, 0.752], [0.250, 0.998, 0.391], [0.500, 0.391, 0.248], [0.607, 0.859, 0.609], [0.609, 0.857, 0.109], [0.748, 0.500, 0.891], [0.000, 0.000, 0.000], [0.750, 0.250, 0.500], [0.233, 0.625, 0.108], [0.375, 0.483, 0.608], [0.517, 0.125, 0.892], [0.875, 0.767, 0.392]],
  "magnetic_moment_mub_per_atom": 0.00,
  "dos_ef_per_ev_cell": 7.64
}

Arrangement ii

{
  "formula": "Er4ZnRu2",
  "functional": "GGA-PBE",
  "state": "relaxed",
  "cell": [[4.806, 0.000, 0.000], [0.000, 4.806, 0.000], [0.000, 0.000, 6.796]],
  "species": ["Er", "Er", "Er", "Er", "Zn", "Ru", "Ru"],
  "fractional_positions": [[0.000, 0.500, 0.246], [0.000, 0.500, 0.754], [0.500, 0.000, 0.246], [0.500, 0.000, 0.754], [0.000, 0.000, 0.500], [0.000, 0.000, 0.000], [0.500, 0.500, 0.500]],
  "magnetic_moment_mub_per_atom": 0.00,
  "dos_ef_per_ev_cell": 4.25
}

Which structure is the least stable? The one labeled arrangement i.

Arrangement i

{
  "formula": "Er2Zn3Ru",
  "functional": "GGA-PBE",
  "state": "relaxed",
  "cell": [[-2.376, 2.648, 4.838], [2.376, -2.648, 4.838], [2.376, 2.648, -4.838]],
  "species": ["Er", "Er", "Zn", "Zn", "Zn", "Ru"],
  "fractional_positions": [[0.212, 0.212, 0.000], [0.788, 0.788, 0.000], [0.000, 0.500, 0.500], [0.380, 0.880, 0.500], [0.620, 0.120, 0.500], [0.500, 0.500, 0.000]],
  "magnetic_moment_mub_per_atom": 0.00,
  "dos_ef_per_ev_cell": 2.82
}

Arrangement ii

{
  "formula": "Er2Zn3Ru",
  "functional": "GGA-PBE",
  "state": "relaxed",
  "cell": [[4.590, -2.655, 0.000], [4.590, 2.655, 0.000], [-3.060, 0.000, 4.466]],
  "species": ["Er", "Er", "Zn", "Zn", "Zn", "Ru"],
  "fractional_positions": [[0.128, 0.128, 0.382], [0.872, 0.872, 0.618], [0.000, 0.500, 0.000], [0.500, 0.000, 0.000], [0.500, 0.500, 0.000], [0.500, 0.500, 0.500]],
  "magnetic_moment_mub_per_atom": 0.00,
  "dos_ef_per_ev_cell": 3.13
}

Which structure is the least stable? The one labeled arrangement i.

Arrangement i

{
  "formula": "ErZrRu",
  "functional": "GGA-PBE",
  "state": "relaxed",
  "cell": [[-1.673, 1.673, 5.720], [1.673, -1.673, 5.720], [1.673, 1.673, -5.720]],
  "species": ["Er", "Zr", "Ru"],
  "fractional_positions": [[0.000, 0.000, 0.000], [0.286, 0.286, 0.000], [0.657, 0.657, 0.000]],
  "magnetic_moment_mub_per_atom": 0.34,
  "dos_ef_per_ev_cell": 2.09
}

Arrangement ii

{
  "formula": "ErZrRu",
  "functional": "GGA-PBE",
  "state": "relaxed",
  "cell": [[0.000, 4.723, 6.562], [4.564, 0.000, 6.562], [4.564, 4.723, 0.000]],
  "species": ["Er", "Er", "Er", "Er", "Zr", "Zr", "Zr", "Zr", "Ru", "Ru", "Ru", "Ru"],
  "fractional_positions": [[0.002, 0.002, 0.748], [0.252, 0.252, 0.998], [0.748, 0.748, 0.002], [0.998, 0.998, 0.252], [0.253, 0.253, 0.497], [0.497, 0.497, 0.253], [0.503, 0.503, 0.747], [0.747, 0.747, 0.503], [0.139, 0.611, 0.611], [0.389, 0.861, 0.861], [0.611, 0.139, 0.139], [0.861, 0.389, 0.389]],
  "magnetic_moment_mub_per_atom": 0.00,
  "dos_ef_per_ev_cell": 11.49
}

Which structure is the least stable? The one labeled arrangement ii.

Arrangement i

{
  "formula": "Er3S2",
  "functional": "GGA-PBE",
  "state": "relaxed",
  "cell": [[3.303, 1.907, 6.259], [-3.303, 1.907, 6.259], [0.000, -3.814, 6.259]],
  "species": ["Er", "Er", "Er", "Er", "Er", "Er", "S", "S", "S", "S"],
  "fractional_positions": [[0.080, 0.750, 0.420], [0.250, 0.580, 0.920], [0.420, 0.080, 0.750], [0.580, 0.920, 0.250], [0.750, 0.420, 0.080], [0.920, 0.250, 0.580], [0.163, 0.163, 0.163], [0.337, 0.337, 0.337], [0.663, 0.663, 0.663], [0.837, 0.837, 0.837]],
  "magnetic_moment_mub_per_atom": 0.00,
  "dos_ef_per_ev_cell": 8.32
}

Arrangement ii

{
  "formula": "Er3S2",
  "functional": "GGA-PBE",
  "state": "relaxed",
  "cell": [[1.885, 1.089, 9.455], [-1.885, 1.089, 9.455], [0.000, -2.177, 9.455]],
  "species": ["Er", "Er", "Er", "S", "S"],
  "fractional_positions": [[0.000, 0.000, 0.000], [0.216, 0.216, 0.216], [0.784, 0.784, 0.784], [0.391, 0.391, 0.391], [0.609, 0.609, 0.609]],
  "magnetic_moment_mub_per_atom": 0.09,
  "dos_ef_per_ev_cell": 3.63
}

Which structure is the least stable? The one labeled arrangement i.

Arrangement i

{
  "formula": "Er2SbS",
  "functional": "GGA-PBE",
  "state": "relaxed",
  "cell": [[4.116, 0.000, 0.000], [-2.058, 3.564, 0.000], [0.000, 0.000, 20.083]],
  "species": ["Er", "Er", "Er", "Er", "Er", "Er", "Sb", "Sb", "Sb", "S", "S", "S"],
  "fractional_positions": [[0.000, 0.000, 0.221], [0.000, 0.000, 0.779], [0.333, 0.667, 0.407], [0.333, 0.667, 0.928], [0.667, 0.333, 0.072], [0.667, 0.333, 0.593], [0.000, 0.000, 0.500], [0.333, 0.667, 0.686], [0.667, 0.333, 0.314], [0.000, 0.000, 0.000], [0.333, 0.667, 0.147], [0.667, 0.333, 0.853]],
  "magnetic_moment_mub_per_atom": 0.00,
  "dos_ef_per_ev_cell": 4.15
}

Arrangement ii

{
  "formula": "Er2SbS",
  "functional": "GGA-PBE",
  "state": "relaxed",
  "cell": [[2.021, 1.167, 7.020], [-2.021, 1.167, 7.020], [0.000, -2.333, 7.020]],
  "species": ["Er", "Er", "Sb", "S"],
  "fractional_positions": [[0.000, 0.000, 0.000], [0.186, 0.186, 0.186], [0.426, 0.426, 0.426], [0.597, 0.597, 0.597]],
  "magnetic_moment_mub_per_atom": 0.00,
  "dos_ef_per_ev_cell": 2.64
}

Which structure is the least stable? The one labeled arrangement ii.

Arrangement i

{
  "formula": "Er2SbS",
  "functional": "GGA-PBE",
  "state": "relaxed",
  "cell": [[2.052, 1.185, 6.750], [-2.052, 1.185, 6.750], [0.000, -2.369, 6.750]],
  "species": ["Er", "Er", "Sb", "S"],
  "fractional_positions": [[0.241, 0.241, 0.241], [0.759, 0.759, 0.759], [0.000, 0.000, 0.000], [0.500, 0.500, 0.500]],
  "magnetic_moment_mub_per_atom": 0.00,
  "dos_ef_per_ev_cell": 1.89
}

Arrangement ii

{
  "formula": "Er2SbS",
  "functional": "GGA-PBE",
  "state": "relaxed",
  "cell": [[5.857, 0.000, 0.000], [0.000, 4.347, 0.000], [0.000, 0.000, 17.191]],
  "species": ["Er", "Er", "Er", "Er", "Er", "Er", "Er", "Er", "Sb", "Sb", "Sb", "Sb", "S", "S", "S", "S"],
  "fractional_positions": [[0.249, 0.250, 0.071], [0.249, 0.750, 0.326], [0.251, 0.250, 0.826], [0.251, 0.750, 0.571], [0.749, 0.250, 0.429], [0.749, 0.750, 0.174], [0.751, 0.250, 0.674], [0.751, 0.750, 0.929], [0.250, 0.250, 0.443], [0.250, 0.750, 0.943], [0.750, 0.250, 0.057], [0.750, 0.750, 0.557], [0.250, 0.250, 0.673], [0.250, 0.750, 0.173], [0.750, 0.250, 0.827], [0.750, 0.750, 0.327]],
  "magnetic_moment_mub_per_atom": 0.00,
  "dos_ef_per_ev_cell": 5.63
}

Which structure is the least stable? The one labeled arrangement ii.